Entry 1:
## La6SmDy2Sc (PBE)

Data for a relaxed La6SmDy2Sc crystal.

Total DFT energy (no corrections)   -4.772 eV/atom
Symmetry   C2/m
Crystal system   monoclinic

Cell lengths 9.313, 7.410, 6.283 Å; angles 126.14, 81.53, 90.00 degrees
Element x y z (fractional)
La: 0.266 0.140 0.733
La: 0.631 0.368 0.736
Sc: 0.000 0.500 0.000
La: 0.266 0.593 0.733
La: 0.734 0.407 0.267
Sm: 0.500 0.000 0.000
Dy: 0.945 0.844 0.687
La: 0.369 0.632 0.264
La: 0.734 0.860 0.267
Dy: 0.055 0.156 0.313

---

Entry 2:
## Si3HPb (PBE)

Data for a relaxed Si3HPb crystal.

Total DFT energy (no corrections)   -2.708 eV/atom
Symmetry   Pm-3m
Crystal system   cubic

Cell lengths 5.434, 5.434, 5.434 Å; angles 90.00, 90.00, 90.00 degrees
Element x y z (fractional)
Si: 0.000 0.500 0.000
H: 0.500 0.500 0.500
Pb: 0.000 0.000 0.000
Si: 0.500 0.000 0.000
Si: 0.000 0.000 0.500

---

Entry 3:
## Sm2HoIr9 (PBE)

Data for a relaxed Sm2HoIr9 crystal.

Total DFT energy (no corrections)   -8.359 eV/atom
Symmetry   R-3m
Crystal system   trigonal

Cell lengths 5.327, 5.327, 9.367 Å; angles 73.48, 73.48, 60.00 degrees
Element x y z (fractional)
Ir: 0.668 0.668 0.997
Ir: 0.917 0.420 0.243
Ir: 0.332 0.332 0.003
Ir: 0.500 0.500 0.500
Ir: 0.083 0.580 0.757
Sm: 0.861 0.861 0.418
Ho: 0.000 0.000 0.000
Ir: 0.420 0.917 0.243
Ir: 0.580 0.580 0.757
Ir: 0.420 0.420 0.243
Sm: 0.139 0.139 0.582
Ir: 0.580 0.083 0.757

---

Entry 4:
## SrTa2Pt (PBE)

Data for a relaxed SrTa2Pt crystal.

Total DFT energy (no corrections)   -7.351 eV/atom
Symmetry   P4/mmm
Crystal system   tetragonal

Cell lengths 5.118, 4.054, 4.054 Å; angles 90.00, 90.00, 90.00 degrees
Element x y z (fractional)
Ta: 0.000 0.000 0.000
Pt: 0.500 0.500 0.000
Sr: 0.500 0.000 0.500
Ta: 0.000 0.500 0.500

---

Entry 5:
## PmNdCu (PBE)

Data for a relaxed PmNdCu crystal.

Total DFT energy (no corrections)   -4.641 eV/atom
Symmetry   Pnma
Crystal system   orthorhombic

Cell lengths 5.025, 8.986, 7.118 Å; angles 90.00, 90.00, 90.00 degrees
Element x y z (fractional)
Pm: 0.250 0.411 0.357
Pm: 0.250 0.089 0.857
Cu: 0.750 0.597 0.242
Nd: 0.750 0.174 0.509
Pm: 0.750 0.911 0.143
Cu: 0.250 0.403 0.758
Nd: 0.250 0.674 0.991
Nd: 0.250 0.826 0.491
Nd: 0.750 0.326 0.009
Pm: 0.750 0.589 0.643
Cu: 0.750 0.903 0.742
Cu: 0.250 0.097 0.258

---

Entry 6:
## Ac2Mg5Cd12 (PBE)

Data for a relaxed Ac2Mg5Cd12 crystal.

Total DFT energy (no corrections)   -1.659 eV/atom
Symmetry   R-3m
Crystal system   trigonal

Cell lengths 7.753, 7.753, 7.753 Å; angles 82.26, 82.26, 82.26 degrees
Element x y z (fractional)
Mg: 0.899 0.899 0.899
Cd: 0.849 0.354 0.354
Cd: 0.354 0.849 0.354
Cd: 0.291 0.000 0.709
Cd: 0.709 0.000 0.291
Ac: 0.338 0.338 0.338
Cd: 0.709 0.291 0.000
Cd: 0.000 0.709 0.291
Cd: 0.354 0.354 0.849
Cd: 0.151 0.646 0.646
Mg: 0.500 0.000 0.000
Mg: 0.101 0.101 0.101
Mg: 0.000 0.500 0.000
Cd: 0.646 0.151 0.646
Cd: 0.000 0.291 0.709
Cd: 0.646 0.646 0.151
Mg: 0.000 0.000 0.500
Cd: 0.291 0.709 0.000
Ac: 0.662 0.662 0.662

---

Entry 7:
## TaInRh2 (PBE)

Data for a relaxed TaInRh2 crystal.

Total DFT energy (no corrections)   -7.689 eV/atom
Symmetry   Cm
Crystal system   monoclinic

Cell lengths 5.050, 5.050, 4.572 Å; angles 75.94, 75.94, 36.53 degrees
Element x y z (fractional)
In: 0.250 0.250 0.199
Ta: 0.492 0.492 0.564
Rh: 0.994 0.994 0.049
Rh: 0.763 0.763 0.688

---

Entry 8:
## Ce3Ga4Pt4 (PBE)

Data for a relaxed Ce3Ga4Pt4 crystal.

Total DFT energy (no corrections)   -5.915 eV/atom
Symmetry   Immm
Crystal system   orthorhombic

Cell lengths 4.183, 7.231, 8.332 Å; angles 115.72, 104.54, 90.00 degrees
Element x y z (fractional)
Ga: 0.673 0.868 0.346
Ce: 0.000 0.500 0.000
Pt: 0.783 0.283 0.565
Pt: 0.217 0.717 0.435
Ga: 0.327 0.523 0.654
Ce: 0.875 0.875 0.751
Pt: 0.500 0.798 0.000
Ga: 0.673 0.477 0.346
Ce: 0.125 0.125 0.249
Pt: 0.500 0.202 0.000
Ga: 0.327 0.132 0.654

---

Entry 9:
## KAuBr (PBE)

Data for a relaxed KAuBr crystal.

Energy relative to the elements, uncorrected   -0.488 eV/atom
Symmetry   P3m1
Crystal system   trigonal

Cell lengths 5.039, 5.039, 4.263 Å; angles 90.00, 90.00, 120.00 degrees
Element x y z (fractional)
Au: 0.000 0.000 0.167
K: 0.333 0.667 0.667
Br: 0.667 0.333 0.166

---

Entry 10:
## PmPuCoPt (PBE)

Data for a relaxed PmPuCoPt crystal.

Total DFT energy (no corrections)   -8.430 eV/atom
Symmetry   F-43m
Crystal system   cubic

Cell lengths 4.922, 4.922, 4.922 Å; angles 60.00, 60.00, 60.00 degrees
Element x y z (fractional)
Pt: 0.750 0.750 0.750
Pm: 0.500 0.500 0.500
Pu: 0.000 0.000 0.000
Co: 0.250 0.250 0.250

---

Entry 11:
## Ce2YRu (PBE)

Data for a relaxed Ce2YRu crystal.

Total DFT energy (no corrections)   -7.131 eV/atom
Symmetry   Pnma
Crystal system   orthorhombic

Cell lengths 6.081, 9.648, 14.175 Å; angles 90.00, 90.00, 90.00 degrees
Element x y z (fractional)
Ce: 0.942 0.936 0.789
Y: 0.761 0.250 0.398
Ce: 0.442 0.436 0.711
Ce: 0.253 0.059 0.462
Ce: 0.247 0.059 0.962
Y: 0.957 0.250 0.646
Ce: 0.747 0.559 0.538
Y: 0.261 0.750 0.102
Ce: 0.558 0.564 0.289
Ce: 0.247 0.441 0.962
Ce: 0.058 0.064 0.211
Ru: 0.475 0.250 0.576
Ru: 0.230 0.250 0.828
Ru: 0.770 0.750 0.172
Ce: 0.753 0.941 0.038
Ce: 0.442 0.064 0.711
Ce: 0.253 0.441 0.462
Y: 0.043 0.750 0.354
Ce: 0.747 0.941 0.538
Y: 0.543 0.250 0.146
Ru: 0.730 0.750 0.672
Ru: 0.025 0.250 0.076
Y: 0.457 0.750 0.854
Ce: 0.558 0.936 0.289
Ru: 0.975 0.750 0.924
Ce: 0.753 0.559 0.038
Ru: 0.270 0.250 0.328
Ru: 0.525 0.750 0.424
Y: 0.739 0.250 0.898
Y: 0.239 0.750 0.602
Ce: 0.942 0.564 0.789
Ce: 0.058 0.436 0.211

---

Entry 12:
## TbSmTmSc (PBE)

Data for a relaxed TbSmTmSc crystal.

Total DFT energy (no corrections)   -4.933 eV/atom
Symmetry   F-43m
Crystal system   cubic

Cell lengths 5.544, 5.544, 5.544 Å; angles 60.00, 60.00, 60.00 degrees
Element x y z (fractional)
Sm: 0.750 0.750 0.750
Sc: 0.000 0.000 0.000
Tm: 0.500 0.500 0.500
Tb: 0.250 0.250 0.250